Material: NdCo3Os4O12
Method: DFT, PBE+U
State: optimized geometry

```
20
Lattice="-3.772 3.772 3.772 3.772 -3.772 3.772 3.772 3.772 -3.772" Properties=species:S:1:pos:R:3 pbc="T T T"
Nd 0.000 0.000 0.000
Co 3.772 0.000 0.000
Co 0.000 3.772 0.000
Co 0.000 0.000 3.772
Os 1.886 1.886 -1.886
Os 1.886 -1.886 1.886
Os -1.886 1.886 1.886
Os 1.886 1.886 1.886
O 3.772 -1.459 2.451
O 2.313 1.321 0.000
O 5.231 1.321 0.000
O 2.451 3.772 -1.459
O 1.321 0.000 2.313
O 0.000 2.313 1.321
O 3.772 1.459 2.451
O 2.451 3.772 1.459
O 1.321 0.000 5.231
O -1.459 2.451 3.772
O 1.459 2.451 3.772
O 0.000 5.231 1.321
```

E_tot   -7.307 eV/atom
Space group   Im-3 (204)